Density functional theory data (PBE) for a geometry-optimized Np4Pb structure.

Calculated values
**Calculated formation energy**: 1.783 eV per atom
**Electronic total energy**: -9.31 eV per atom
**Magnetic moment**: 21.02 μB/f.u.

Cell: 5.8298 5.8298 5.8298 Å, 90.00 90.00 90.00°
Site moments in Bohr magnetons follow the coordinates.
Fractional coordinates of all 5 atoms:
1 Pb 0.5000 0.5000 0.5000  -0.02
2 Np 0.0000 0.0000 0.0000  4.62
3 Np 0.5000 0.0000 0.5000  4.35
4 Np 0.0000 0.5000 0.5000  4.35
5 Np 0.5000 0.5000 0.0000  4.35

***

Density functional theory data (PBE) for a geometry-optimized Ce2AuSe structure.

Calculated values
**Energy above the lowest structure with this stoichiometry**: 28 kJ/mol of formula units
**Electronic total energy**: -5.76 eV per atom
**Formation energy (no corrections)**: -4.42 eV/f.u.
**Magnetic moment**: 1.95 μB/f.u.

Cell: 4.1646 4.1646 7.6976 Å, 74.31 74.31 60.00°
Site moments in Bohr magnetons follow the coordinates.
Fractional coordinates of all 4 atoms:
1 Au 0.0000 0.0000 0.0000  0.01
2 Se 0.5000 0.5000 0.5000  -0.02
3 Ce 0.2478 0.2478 0.2567  0.82
4 Ce 0.7522 0.7522 0.7433  0.82

***

Density functional theory data (PBE) for a geometry-optimized Tc2Rh structure.

Calculated values
**Energy above the lowest structure with this stoichiometry**: 51 kJ/mol of formula units
**Calculated formation energy**: 0.056 eV per atom
**Electronic total energy**: -9.30 eV per atom
**Magnetic moment**: 0.00 μB/f.u.

Cell: 4.3229 4.3229 5.4059 Å, 90.00 90.00 120.00°
Fractional coordinates of all 6 atoms:
1 Tc 0.0000 0.0000 0.0000
2 Tc 0.0000 0.0000 0.5000
3 Tc 0.3333 0.6667 0.7500
4 Tc 0.6667 0.3333 0.2500
5 Rh 0.3333 0.6667 0.2500
6 Rh 0.6667 0.3333 0.7500